# 1
First-principles (PBE-GGA) data for a geometry-optimized Pm2Er3Bi2 structure, as listed in Alexandria.

Cell and atoms, written as POSCAR:
```
Pm2Er3Bi2
1.0
12.299 0.000 0.000
0.000 4.350 0.000
-2.919 0.000 8.227
Pm Er Bi
4 6 4
Direct
0.127 0.000 0.281
0.373 0.500 0.719
0.627 0.500 0.281
0.873 0.000 0.719
0.000 0.500 0.500
0.124 0.500 0.946
0.376 0.000 0.054
0.500 0.000 0.500
0.624 0.000 0.946
0.876 0.500 0.054
0.171 0.000 0.697
0.329 0.500 0.303
0.671 0.500 0.697
0.829 0.000 0.303
```

Properties
Its energy of formation from the pure elements is -0.467 eV/atom. The space-group type is No. 12. The calculation puts the calculated total energy at -4.888 eV/atom.

---

# 2
First-principles (PBE-GGA) data for a geometry-optimized NaAcPN2 structure, as listed in Alexandria.

Cell and atoms, written as POSCAR:
```
NaAcPN2
1.0
5.830 0.000 0.000
0.000 4.361 0.000
-1.636 0.000 6.675
Na Ac P N
2 2 2 4
Direct
0.000 0.022 0.250
0.000 0.978 0.750
0.500 0.262 0.750
0.500 0.738 0.250
0.000 0.500 0.000
0.000 0.500 0.500
0.255 0.271 0.039
0.255 0.729 0.539
0.745 0.271 0.461
0.745 0.729 0.961
```

Properties
The space-group type is No. 13. The calculation puts the calculated total energy at -5.734 eV/atom. The uncorrected formation energy comes out at -0.237 eV per atom.

---

# 3
First-principles (PBE-GGA) data for a geometry-optimized K2TiTc structure, as listed in Alexandria.

Cell and atoms, written as POSCAR:
```
K2TiTc
1.0
7.567 0.000 0.000
0.000 7.567 0.000
0.000 0.000 7.567
K Ti Tc
8 4 4
Direct
0.250 0.250 0.250
0.250 0.250 0.750
0.250 0.750 0.250
0.250 0.750 0.750
0.750 0.250 0.250
0.750 0.250 0.750
0.750 0.750 0.250
0.750 0.750 0.750
0.000 0.000 0.000
0.000 0.500 0.500
0.500 0.000 0.500
0.500 0.500 0.000
0.000 0.000 0.500
0.000 0.500 0.000
0.500 0.000 0.000
0.500 0.500 0.500
```

Properties
Its energy above the lowest structure with this stoichiometry is 987 meV per atom. Its energy of formation from the pure elements is 2.124 eV/atom. The space-group type is No. 225. The calculation puts the calculated total energy at -2.990 eV/atom.

---

# 4
First-principles (PBE-GGA) data for a geometry-optimized HgP2H6F structure, as listed in Alexandria.

Cell and atoms, written as POSCAR:
```
HgP2H6F
1.0
4.095 -4.657 0.000
4.095 4.657 0.000
-1.773 0.000 6.435
Hg P H F
2 4 12 2
Direct
0.084 0.916 0.750
0.916 0.084 0.250
0.138 0.372 0.763
0.372 0.138 0.263
0.628 0.862 0.737
0.862 0.628 0.237
0.085 0.580 0.246
0.218 0.483 0.617
0.260 0.496 0.963
0.420 0.915 0.254
0.483 0.218 0.117
0.496 0.260 0.463
0.504 0.740 0.537
0.517 0.782 0.883
0.580 0.085 0.746
0.740 0.504 0.037
0.782 0.517 0.383
0.915 0.420 0.754
0.392 0.608 0.250
0.608 0.392 0.750
```

Properties
The space-group type is No. 15. The calculation puts the calculated total energy at -3.483 eV/atom.

---

# 5
First-principles (PBE-GGA) data for a geometry-optimized ZnSnPd structure, as listed in Alexandria.

Cell and atoms, written as POSCAR:
```
ZnSnPd
1.0
2.933 0.000 0.000
0.000 2.933 0.000
0.000 0.000 14.674
Zn Sn Pd
2 2 2
Direct
0.000 0.000 0.000
0.500 0.500 0.500
0.000 0.000 0.347
0.500 0.500 0.847
0.000 0.000 0.167
0.500 0.500 0.667
```

Properties
Its energy of formation from the pure elements is 0.191 eV/atom. The space-group type is No. 107. The calculation puts the calculated total energy at -3.299 eV/atom.

---

# 6
First-principles (PBE-GGA) data for a geometry-optimized TaIrPt2 structure, as listed in Alexandria.

Cell and atoms, written as POSCAR:
```
TaIrPt2
1.0
2.792 0.000 0.000
0.000 4.053 0.000
0.000 0.000 5.571
Ta Ir Pt
1 1 2
Direct
0.000 0.000 0.000
0.000 0.000 0.500
0.500 0.500 0.250
0.500 0.500 0.750
```

Properties
Its energy above the lowest structure with this stoichiometry is 202 meV per atom. Its energy of formation from the pure elements is -0.431 eV/atom. The space-group type is No. 47. The calculation puts the calculated total energy at -8.630 eV/atom.

---

# 7
First-principles (PBE-GGA) data for a geometry-optimized MgInHg structure, as listed in Alexandria.

Cell and atoms, written as POSCAR:
```
MgInHg
1.0
5.941 0.000 0.000
0.000 3.207 0.000
0.000 0.000 7.553
Mg In Hg
2 2 2
Direct
0.250 0.000 0.192
0.750 0.000 0.808
0.000 0.500 0.500
0.500 0.500 0.500
0.250 0.500 0.868
0.750 0.500 0.132
```

Properties
Its energy of formation from the pure elements is -0.080 eV/atom. The space-group type is No. 51. The calculation puts the calculated total energy at -1.625 eV/atom.

---

# 8
First-principles (PBE-GGA) data for a geometry-optimized Mn2VIr2 structure, as listed in Alexandria.

Cell and atoms, written as POSCAR:
```
Mn2VIr2
1.0
7.073 0.000 0.000
0.000 7.073 0.000
0.000 0.000 2.669
Mn V Ir
4 2 4
Direct
0.118 0.382 0.000
0.382 0.882 0.000
0.618 0.118 0.000
0.882 0.618 0.000
0.000 0.000 0.000
0.500 0.500 0.000
0.177 0.677 0.500
0.323 0.177 0.500
0.677 0.823 0.500
0.823 0.323 0.500
```

Properties
Its energy above the lowest structure with this stoichiometry is 0 meV per atom. Its energy of formation from the pure elements is -0.071 eV/atom. The space-group type is No. 127. The calculation puts the calculated total energy at -9.107 eV/atom.